(1)
{
  "formula": "TcAsOs2",
  "functional": "PBE",
  "state": "optimized geometry",
  "lattice_angstrom": [[-2.782, 2.782, 5.481], [2.782, -2.782, 5.481], [2.782, 2.782, -5.481]],
  "species": ["Tc", "Tc", "As", "As", "Os", "Os", "Os", "Os"],
  "frac_coords": [[0.000, 0.000, 0.000], [0.750, 0.250, 0.500], [0.250, 0.750, 0.500], [0.500, 0.500, 0.000], [0.124, 0.625, 0.999], [0.375, 0.374, 0.499], [0.626, 0.125, 0.001], [0.875, 0.876, 0.501]],
  "mass_density_g_cm3": 10.83,
  "e_tot_ev_per_cell": -67.9,
  "delta_e_f_mev_per_atom": 876
}

(2)
{
  "formula": "TcAsOs",
  "functional": "PBE",
  "state": "optimized geometry",
  "lattice_angstrom": [[2.074, -5.088, 0.000], [2.074, 5.088, 0.000], [0.000, 0.000, 4.152]],
  "species": ["Tc", "Tc", "As", "As", "Os", "Os"],
  "frac_coords": [[0.161, 0.839, 0.000], [0.839, 0.161, 0.000], [0.000, 0.000, 0.500], [0.500, 0.500, 0.000], [0.332, 0.668, 0.500], [0.668, 0.332, 0.500]],
  "mass_density_g_cm3": 13.76,
  "e_tot_ev_per_cell": -51.6,
  "delta_e_f_mev_per_atom": 147
}

(3)
{
  "formula": "TcAsOs2",
  "functional": "PBE",
  "state": "optimized geometry",
  "lattice_angstrom": [[2.898, 0.000, 0.000], [0.000, 2.898, 0.000], [0.000, 0.000, 6.892]],
  "species": ["Tc", "As", "Os", "Os"],
  "frac_coords": [[0.000, 0.000, 0.000], [0.000, 0.000, 0.500], [0.500, 0.500, 0.265], [0.500, 0.500, 0.735]],
  "mass_density_g_cm3": 15.88,
  "e_tot_ev_per_cell": -36.5,
  "delta_e_f_mev_per_atom": 243
}

(4)
{
  "formula": "TcAsOs2",
  "functional": "PBE",
  "state": "optimized geometry",
  "lattice_angstrom": [[3.975, 0.000, 0.000], [0.000, 1.407, 5.223], [0.000, -1.407, 5.223]],
  "species": ["Tc", "As", "Os", "Os"],
  "frac_coords": [[0.000, 0.000, 0.000], [0.500, 0.598, 0.598], [0.000, 0.741, 0.741], [0.500, 0.364, 0.364]],
  "mass_density_g_cm3": 15.73,
  "e_tot_ev_per_cell": -36.7,
  "delta_e_f_mev_per_atom": 187
}

(5)
{
  "formula": "TcAsOs",
  "functional": "PBE",
  "state": "optimized geometry",
  "lattice_angstrom": [[-1.450, 1.994, 3.864], [1.450, -1.994, 3.864], [1.450, 1.994, -3.864]],
  "species": ["Tc", "As", "Os"],
  "frac_coords": [[0.000, 0.000, 0.000], [0.324, 0.324, 0.000], [0.648, 0.648, 0.000]],
  "mass_density_g_cm3": 13.50,
  "e_tot_ev_per_cell": -25.3,
  "delta_e_f_mev_per_atom": 317
}

(6)
{
  "formula": "TcAsOs",
  "functional": "PBE",
  "state": "optimized geometry",
  "lattice_angstrom": [[4.690, 0.000, 0.000], [0.000, 2.920, 0.000], [-1.056, 0.000, 6.634]],
  "species": ["Tc", "Tc", "As", "As", "Os", "Os"],
  "frac_coords": [[0.000, 0.000, 0.000], [0.358, 0.000, 0.375], [0.311, 0.000, 0.745], [0.922, 0.500, 0.363], [0.525, 0.500, 0.075], [0.710, 0.500, 0.685]],
  "mass_density_g_cm3": 13.28,
  "e_tot_ev_per_cell": -51.7,
  "delta_e_f_mev_per_atom": 136
}